# 1
# Sm2YHo6Tm

Sm2YHo6Tm after structural relaxation (PBE-GGA, Alexandria via LeMat-Bulk).

Its energy relative to the elements is 1.1 eV/f.u. Its crystal system is monoclinic. The size of the total moment is 0.00 μB per formula unit.

The space group is C2/c (No. 15) and the conventional cell measures 8.9769, 15.0291 and 9.5869 Å, with angles of 90.00, 98.34 and 90.00 degrees. Symmetry generates all atoms from Sm at (0.2492, 0.0534, 0.0431), Y at (0.0000, 0.0196, 0.7500), Ho at (0.0627, 0.1900, 0.4432), Ho at (0.1042, 0.3944, 0.6193), Ho at (0.2033, 0.2235, 0.8130) and Tm at (0.0000, 0.4081, 0.2500).

# 2
# Sm6YHo3Tm2

Sm6YHo3Tm2 after structural relaxation (PBE-GGA, Alexandria via LeMat-Bulk).

Its energy relative to the elements is 0.2 eV/f.u. Its crystal system is monoclinic. The size of the total moment is 0.00 μB per formula unit.

The space group is C2/m (No. 12) and the conventional cell measures 6.2035, 10.7401 and 11.7647 Å, with angles of 90.00, 100.08 and 90.00 degrees. Symmetry generates all atoms from Sm at (0.2495, 0.0000, 0.2498), Sm at (0.2489, 0.1672, 0.7502), Y at (0.0000, 0.5000, 0.0000), Ho at (0.0000, 0.0000, 0.5000), Ho at (0.0000, 0.3332, 0.5000) and Tm at (0.0000, 0.1666, 0.0000).

# 3
# Sm6Y2Ho3Tm

Sm6Y2Ho3Tm after structural relaxation (PBE-GGA, Alexandria via LeMat-Bulk).

Its energy relative to the elements is 0.2 eV/f.u. Its crystal system is monoclinic. The size of the total moment is 0.00 μB per formula unit.

The space group is C2/m (No. 12) and the conventional cell measures 6.2156, 10.7616 and 11.7977 Å, with angles of 90.00, 100.07 and 90.00 degrees. Symmetry generates all atoms from Sm at (0.2484, 0.0000, 0.2493), Sm at (0.2499, 0.1661, 0.7506), Y at (0.0000, 0.3334, 0.5000), Ho at (0.0000, 0.1667, 0.0000), Ho at (0.0000, 0.5000, 0.0000) and Tm at (0.0000, 0.0000, 0.5000).

# 4
# Sm2YHo5Tm

Sm2YHo5Tm after structural relaxation (PBE-GGA, Alexandria via LeMat-Bulk).

Its energy relative to the elements is 2.5 eV/f.u. Its crystal system is tetragonal. The size of the total moment is 0.00 μB per formula unit.

The space group is I4/mcm (No. 140) and the conventional cell measures 8.6021, 8.6021 and 15.5490 Å, with angles of 90.00, 90.00 and 90.00 degrees. Symmetry generates all atoms from Sm at (0.1173, 0.3827, 0.0000), Y at (0.0000, 0.0000, 0.2500), Ho at (0.0000, 0.0000, 0.0000), Ho at (0.2114, 0.2886, 0.3606) and Tm at (0.0000, 0.5000, 0.2500).

# 5
# Sm2Y2Ho4Tm

Sm2Y2Ho4Tm after structural relaxation (PBE-GGA, Alexandria via LeMat-Bulk).

Its energy relative to the elements is 0.0 eV/f.u. Its crystal system is monoclinic. The size of the total moment is 0.00 μB per formula unit.

The space group is C2/m (No. 12) and the conventional cell measures 18.6126, 3.5857 and 9.5278 Å, with angles of 90.00, 115.73 and 90.00 degrees. Symmetry generates all atoms from Sm at (0.1655, 0.0000, 0.0006), Y at (0.1469, 0.5000, 0.6635), Ho at (0.0190, 0.0000, 0.3331), Ho at (0.1850, 0.5000, 0.3352) and Tm at (0.0000, 0.5000, 0.0000).

# 6
# SmYHo6Tm2

SmYHo6Tm2 after structural relaxation (PBE-GGA, Alexandria via LeMat-Bulk).

Its energy relative to the elements is 1.2 eV/f.u. Its crystal system is monoclinic. The size of the total moment is 0.00 μB per formula unit.

The space group is C2/c (No. 15) and the conventional cell measures 9.0167, 14.9614 and 9.4806 Å, with angles of 90.00, 97.01 and 90.00 degrees. Symmetry generates all atoms from Sm at (0.0000, 0.0261, 0.2500), Y at (0.0000, 0.4089, 0.7500), Ho at (0.0629, 0.1852, 0.9437), Ho at (0.1006, 0.3917, 0.1193), Ho at (0.2068, 0.2268, 0.3181) and Tm at (0.2490, 0.4469, 0.4544).

# 7
# Sm3Y2Ho6Tm

Sm3Y2Ho6Tm after structural relaxation (PBE-GGA, Alexandria via LeMat-Bulk).

Its energy relative to the elements is 0.2 eV/f.u. Its crystal system is monoclinic. The size of the total moment is 0.00 μB per formula unit.

The space group is C2/m (No. 12) and the conventional cell measures 6.1628, 10.6640 and 11.7708 Å, with angles of 90.00, 100.00 and 90.00 degrees. Symmetry generates all atoms from Sm at (0.0000, 0.0000, 0.0000), Sm at (0.0000, 0.3333, 0.0000), Y at (0.0000, 0.1666, 0.5000), Ho at (0.2486, 0.3338, 0.7479), Ho at (0.2502, 0.0000, 0.7480) and Tm at (0.0000, 0.5000, 0.5000).

# 8
# Sm6YHoTm2

Sm6YHoTm2 after structural relaxation (PBE-GGA, Alexandria via LeMat-Bulk).

Its energy relative to the elements is 1.2 eV/f.u. Its crystal system is monoclinic. The size of the total moment is 0.00 μB per formula unit.

The space group is C2/c (No. 15) and the conventional cell measures 9.1515, 15.2057 and 9.5784 Å, with angles of 90.00, 97.20 and 90.00 degrees. Symmetry generates all atoms from Sm at (0.0605, 0.1808, 0.4462), Sm at (0.1013, 0.3924, 0.6192), Sm at (0.2108, 0.2248, 0.8144), Y at (0.0000, 0.0261, 0.7500), Ho at (0.0000, 0.4103, 0.2500) and Tm at (0.2487, 0.4484, 0.9549).

# 9
# Sm6YHo2Tm

Sm6YHo2Tm after structural relaxation (PBE-GGA, Alexandria via LeMat-Bulk).

Its energy relative to the elements is 1.2 eV/f.u. Its crystal system is monoclinic. The size of the total moment is 0.00 μB per formula unit.

The space group is C2/c (No. 15) and the conventional cell measures 9.1486, 15.2434 and 9.5806 Å, with angles of 90.00, 97.20 and 90.00 degrees. Symmetry generates all atoms from Sm at (0.0592, 0.1819, 0.4460), Sm at (0.1025, 0.3923, 0.6187), Sm at (0.2105, 0.2238, 0.8128), Y at (0.0000, 0.0251, 0.7500), Ho at (0.2476, 0.4481, 0.9553) and Tm at (0.0000, 0.4109, 0.2500).

# 10
# Sm5YHoTm2

Sm5YHoTm2 after structural relaxation (PBE-GGA, Alexandria via LeMat-Bulk).

Its energy relative to the elements is 1.4 eV/f.u. Its crystal system is orthorhombic. The size of the total moment is 0.00 μB per formula unit.

The space group is Cmc2_1 (No. 36) and the conventional cell measures 5.6164, 20.2163 and 10.5918 Å, with angles of 90.00, 90.00 and 90.00 degrees. Symmetry generates all atoms from Sm at (0.0000, 0.0161, 0.0000), Sm at (0.0000, 0.2791, 0.2933), Sm at (0.0000, 0.2989, 0.6895), Sm at (0.0000, 0.3865, 0.0038), Sm at (0.0000, 0.4811, 0.7229), Y at (0.0000, 0.4094, 0.4392), Ho at (0.0000, 0.1987, 0.9932), Tm at (0.0000, 0.1122, 0.7193) and Tm at (0.0000, 0.1139, 0.2928).

# 11
# SmY2HoTm6

SmY2HoTm6 after structural relaxation (PBE-GGA, Alexandria via LeMat-Bulk).

Its energy relative to the elements is 1.3 eV/f.u. Its crystal system is monoclinic. The size of the total moment is 0.00 μB per formula unit.

The space group is C2/c (No. 15) and the conventional cell measures 9.0466, 14.9141 and 9.3810 Å, with angles of 90.00, 96.23 and 90.00 degrees. Symmetry generates all atoms from Sm at (0.0000, 0.0278, 0.2500), Y at (0.2485, 0.4476, 0.4527), Ho at (0.0000, 0.4102, 0.7500), Tm at (0.0610, 0.1861, 0.9414), Tm at (0.0988, 0.3888, 0.1163) and Tm at (0.2076, 0.2257, 0.3161).

# 12
# SmY2Ho2Tm4

SmY2Ho2Tm4 after structural relaxation (PBE-GGA, Alexandria via LeMat-Bulk).

Its energy relative to the elements is 0.8 eV/f.u. Its crystal system is triclinic. The size of the total moment is 0.00 μB per formula unit.

The space group is P-1 (No. 2) and the conventional cell measures 5.9876, 6.6315 and 8.5167 Å, with angles of 79.00, 69.62 and 63.64 degrees. Symmetry generates all atoms from Sm at (0.0000, 0.0000, 0.0000), Y at (0.2676, 0.6686, 0.6594), Ho at (0.1823, 0.2234, 0.5540), Tm at (0.2693, 0.4230, 0.1202) and Tm at (0.3850, 0.8744, 0.2356).

# 13
# Sm2YHoTm2

Sm2YHoTm2 after structural relaxation (PBE-GGA, Alexandria via LeMat-Bulk).

Its energy relative to the elements is 0.4 eV/f.u. Its crystal system is orthorhombic. The size of the total moment is 0.00 μB per formula unit.

The space group is Pnnm (No. 58) and the conventional cell measures 7.0343, 9.6728 and 5.6070 Å, with angles of 90.00, 90.00 and 90.00 degrees. Symmetry generates all atoms from Sm at (0.2503, 0.1668, 0.0000), Y at (0.0000, 0.0000, 0.5000), Ho at (0.0000, 0.5000, 0.0000) and Tm at (0.2499, 0.3333, 0.5000).

# 14
# Sm6Y2HoTm

Sm6Y2HoTm after structural relaxation (PBE-GGA, Alexandria via LeMat-Bulk).

Its energy relative to the elements is 1.2 eV/f.u. Its crystal system is monoclinic. The size of the total moment is 0.00 μB per formula unit.

The space group is C2/c (No. 15) and the conventional cell measures 9.2296, 15.2195 and 9.5316 Å, with angles of 90.00, 96.67 and 90.00 degrees. Symmetry generates all atoms from Sm at (0.0592, 0.1795, 0.4444), Sm at (0.0985, 0.3892, 0.6174), Sm at (0.2119, 0.2229, 0.8119), Y at (0.2487, 0.4507, 0.9538), Ho at (0.0000, 0.0280, 0.7500) and Tm at (0.0000, 0.4110, 0.2500).

# 15
# Sm2YHo4Tm2

Sm2YHo4Tm2 after structural relaxation (PBE-GGA, Alexandria via LeMat-Bulk).

Its energy relative to the elements is 0.1 eV/f.u. Its crystal system is monoclinic. The size of the total moment is 0.00 μB per formula unit.

The space group is C2/m (No. 12) and the conventional cell measures 18.5810, 3.5825 and 9.4976 Å, with angles of 90.00, 115.77 and 90.00 degrees. Symmetry generates all atoms from Sm at (0.1480, 0.0000, 0.1667), Y at (0.0000, 0.0000, 0.5000), Ho at (0.0189, 0.5000, 0.8325), Ho at (0.1851, 0.0000, 0.8330) and Tm at (0.1671, 0.5000, 0.5015).

# 16
# SmYHo3Tm

SmYHo3Tm after structural relaxation (PBE-GGA, Alexandria via LeMat-Bulk).

Its energy relative to the elements is 1.2 eV/f.u. Its crystal system is monoclinic. The size of the total moment is 0.00 μB per formula unit.

The space group is C2/m (No. 12) and the conventional cell measures 18.4499, 5.7198 and 7.3012 Å, with angles of 90.00, 90.36 and 90.00 degrees. Symmetry generates all atoms from Sm at (0.0388, 0.0000, 0.2524), Y at (0.1479, 0.5000, 0.0363), Ho at (0.0228, 0.5000, 0.7438), Ho at (0.1710, 0.0000, 0.7446), Ho at (0.2152, 0.0000, 0.2513) and Tm at (0.1489, 0.5000, 0.4587).

# 17
# Sm2Y4Ho2Tm

Sm2Y4Ho2Tm after structural relaxation (PBE-GGA, Alexandria via LeMat-Bulk).

Its energy relative to the elements is 0.1 eV/f.u. Its crystal system is monoclinic. The size of the total moment is 0.00 μB per formula unit.

The space group is C2/m (No. 12) and the conventional cell measures 18.6883, 3.5966 and 9.5606 Å, with angles of 90.00, 115.79 and 90.00 degrees. Symmetry generates all atoms from Sm at (0.1487, 0.0000, 0.1674), Y at (0.0185, 0.5000, 0.8314), Y at (0.1846, 0.0000, 0.8319), Ho at (0.1661, 0.5000, 0.5001) and Tm at (0.0000, 0.0000, 0.5000).

# 18
# SmY3Ho6Tm2

SmY3Ho6Tm2 after structural relaxation (PBE-GGA, Alexandria via LeMat-Bulk).

Its energy relative to the elements is 0.3 eV/f.u. Its crystal system is monoclinic. The size of the total moment is 0.00 μB per formula unit.

The space group is C2/m (No. 12) and the conventional cell measures 6.1303, 10.6050 and 11.7319 Å, with angles of 90.00, 99.98 and 90.00 degrees. Symmetry generates all atoms from Sm at (0.0000, 0.0000, 0.0000), Y at (0.0000, 0.1670, 0.5000), Y at (0.0000, 0.5000, 0.5000), Ho at (0.2494, 0.3331, 0.7511), Ho at (0.2504, 0.0000, 0.7513) and Tm at (0.0000, 0.3333, 0.0000).